Computed, not measured: an optimized crystal structure of MgGa6Rh5 at the PBE level of DFT.

extended XYZ file:
```
12
Lattice="-2.1722 3.0662 6.5420 2.1722 -3.0662 6.5420 2.1722 3.0662 -6.5420" Properties=species:S:1:pos:R:3 pbc="T T T"
Mg 0.0000 0.0000 0.0000
Ga 2.1722 -1.4727 4.2718
Ga 2.1722 1.6351 0.0000
Ga 0.0000 1.5935 2.2702
Ga 2.1722 1.4727 4.2718
Ga 0.0000 1.4310 6.5420
Ga 0.0000 4.5388 2.2702
Rh 2.1722 0.0000 2.0561
Rh 0.0000 0.0000 4.3579
Rh 0.0000 3.0662 0.0000
Rh 0.0000 0.0000 8.7261
Rh 0.0000 3.0662 4.4859
```

Properties
- SG = No. 71
- E_form (eV per atom) = -0.56